[1]
Pu2UCrN4: optimized geometry, PBE-GGA.

Cell and atoms, written as CIF:
```
data_Pu2UCrN4
_chemical_formula_sum 'Pu8 U4 Cr4 N16'
_cell_length_a 3.255
_cell_length_b 11.388
_cell_length_c 11.536
_cell_angle_alpha 90.00
_cell_angle_beta 90.00
_cell_angle_gamma 90.00
_space_group_name_H-M_alt 'C m c m'
_space_group_IT_number 63
_space_group_name_Hall '-C 2c 2'
loop_
_atom_site_label
_atom_site_type_symbol
_atom_site_fract_x
_atom_site_fract_y
_atom_site_fract_z
Pu1 Pu 0.000 0.133 0.052
U1 U 0.000 0.391 0.250
Cr1 Cr 0.000 0.348 0.750
N1 N 0.000 0.045 0.250
N2 N 0.000 0.220 0.633
N3 N 0.000 0.500 0.000
```

Results
Uncorrected formation energy = -1.006 eV per atom

=====

[2]
PuU2CrN5: optimized geometry, PBE-GGA.

Cell and atoms, written as CIF:
```
data_PuU2CrN5
_chemical_formula_sum 'Pu4 U8 Cr4 N20'
_cell_length_a 6.409
_cell_length_b 6.409
_cell_length_c 10.959
_cell_angle_alpha 90.00
_cell_angle_beta 90.00
_cell_angle_gamma 90.00
_space_group_name_H-M_alt 'I 4/m c m'
_space_group_IT_number 140
_space_group_name_Hall '-I 4 2c'
loop_
_atom_site_label
_atom_site_type_symbol
_atom_site_fract_x
_atom_site_fract_y
_atom_site_fract_z
Pu1 Pu 0.000 0.000 0.250
U1 U 0.170 0.330 0.000
Cr1 Cr 0.000 0.500 0.250
N1 N 0.000 0.000 0.000
N2 N 0.153 0.347 0.359
```

Results
Uncorrected formation energy = -1.122 eV per atom

=====

[3]
YPu2CrN4: optimized geometry, PBE-GGA.

Cell and atoms, written as CIF:
```
data_YPu2CrN4
_chemical_formula_sum 'Y4 Pu8 Cr4 N16'
_cell_length_a 3.325
_cell_length_b 11.398
_cell_length_c 11.504
_cell_angle_alpha 90.00
_cell_angle_beta 90.00
_cell_angle_gamma 90.00
_space_group_name_H-M_alt 'C m c m'
_space_group_IT_number 63
_space_group_name_Hall '-C 2c 2'
loop_
_atom_site_label
_atom_site_type_symbol
_atom_site_fract_x
_atom_site_fract_y
_atom_site_fract_z
Y1 Y 0.000 0.111 0.250
Pu1 Pu 0.000 0.367 0.049
Cr1 Cr 0.000 0.152 0.750
N1 N 0.000 0.000 0.000
N2 N 0.000 0.269 0.628
N3 N 0.000 0.447 0.250
```

Results
Uncorrected formation energy = -1.058 eV per atom

=====

[4]
Y2PuCrN4: optimized geometry, PBE-GGA.

Cell and atoms, written as CIF:
```
data_Y2PuCrN4
_chemical_formula_sum 'Y8 Pu4 Cr4 N16'
_cell_length_a 3.367
_cell_length_b 11.490
_cell_length_c 11.714
_cell_angle_alpha 90.00
_cell_angle_beta 90.00
_cell_angle_gamma 90.00
_space_group_name_H-M_alt 'C m c m'
_space_group_IT_number 63
_space_group_name_Hall '-C 2c 2'
loop_
_atom_site_label
_atom_site_type_symbol
_atom_site_fract_x
_atom_site_fract_y
_atom_site_fract_z
Y1 Y 0.000 0.131 0.043
Pu1 Pu 0.000 0.396 0.250
Cr1 Cr 0.000 0.336 0.750
N1 N 0.000 0.074 0.250
N2 N 0.000 0.232 0.631
N3 N 0.000 0.500 0.000
```

Results
Uncorrected formation energy = -1.144 eV per atom

=====

[5]
PuZr2CrN4: optimized geometry, PBE-GGA.

Cell and atoms, written as CIF:
```
data_PuZr2CrN4
_chemical_formula_sum 'Pu4 Zr8 Cr4 N16'
_cell_length_a 3.242
_cell_length_b 11.127
_cell_length_c 11.112
_cell_angle_alpha 90.00
_cell_angle_beta 90.00
_cell_angle_gamma 90.00
_space_group_name_H-M_alt 'C m c m'
_space_group_IT_number 63
_space_group_name_Hall '-C 2c 2'
loop_
_atom_site_label
_atom_site_type_symbol
_atom_site_fract_x
_atom_site_fract_y
_atom_site_fract_z
Pu1 Pu 0.000 0.101 0.250
Zr1 Zr 0.000 0.369 0.046
Cr1 Cr 0.000 0.160 0.750
N1 N 0.000 0.000 0.000
N2 N 0.000 0.268 0.620
N3 N 0.000 0.436 0.250
```

Results
Uncorrected formation energy = -1.245 eV per atom

=====

[6]
Pu2ZrCrN4: optimized geometry, PBE-GGA.

Cell and atoms, written as CIF:
```
data_Pu2ZrCrN4
_chemical_formula_sum 'Pu8 Zr4 Cr4 N16'
_cell_length_a 3.178
_cell_length_b 11.186
_cell_length_c 11.637
_cell_angle_alpha 90.00
_cell_angle_beta 90.00
_cell_angle_gamma 90.00
_space_group_name_H-M_alt 'C m c m'
_space_group_IT_number 63
_space_group_name_Hall '-C 2c 2'
loop_
_atom_site_label
_atom_site_type_symbol
_atom_site_fract_x
_atom_site_fract_y
_atom_site_fract_z
Pu1 Pu 0.000 0.134 0.053
Zr1 Zr 0.000 0.379 0.250
Cr1 Cr 0.000 0.357 0.750
N1 N 0.000 0.033 0.250
N2 N 0.000 0.222 0.636
N3 N 0.000 0.500 0.000
```

Results
Uncorrected formation energy = -0.982 eV per atom

=====

[7]
RbCrN: optimized geometry, PBE-GGA.

Cell and atoms, written as CIF:
```
data_RbCrN
_chemical_formula_sum 'Rb2 Cr2 N2'
_cell_length_a 3.618
_cell_length_b 3.618
_cell_length_c 10.442
_cell_angle_alpha 90.00
_cell_angle_beta 90.00
_cell_angle_gamma 90.00
_space_group_name_H-M_alt 'P 4/n m m'
_space_group_IT_number 129
loop_
_space_group_symop_operation_xyz
'x,y,z'
'-x,-y,-z'
'-y+1/2,x,z'
'y+1/2,-x,-z'
'-x+1/2,-y+1/2,z'
'x+1/2,y+1/2,-z'
'y,-x+1/2,z'
'-y,x+1/2,-z'
'x+1/2,-y,-z'
'-x+1/2,y,z'
'-y,-x,-z'
'y,x,z'
'-x,y+1/2,-z'
'x,-y+1/2,z'
'y+1/2,x+1/2,-z'
'-y+1/2,-x+1/2,z'
loop_
_atom_site_label
_atom_site_type_symbol
_atom_site_fract_x
_atom_site_fract_y
_atom_site_fract_z
Rb1 Rb 0.250 0.250 0.209
Cr1 Cr 0.250 0.750 0.500
N1 N 0.250 0.250 0.577
```

Results
Uncorrected formation energy = -0.160 eV per atom

=====

[8]
RbCrS2N: optimized geometry, PBE-GGA.

Cell and atoms, written as CIF:
```
data_RbCrS2N
_chemical_formula_sum 'Rb1 Cr1 S2 N1'
_cell_length_a 4.935
_cell_length_b 4.935
_cell_length_c 3.645
_cell_angle_alpha 90.00
_cell_angle_beta 90.00
_cell_angle_gamma 90.00
_space_group_name_H-M_alt 'P 4/m m m'
_space_group_IT_number 123
_space_group_name_Hall '-P 4 2'
loop_
_atom_site_label
_atom_site_type_symbol
_atom_site_fract_x
_atom_site_fract_y
_atom_site_fract_z
Rb1 Rb 0.000 0.000 0.000
Cr1 Cr 0.500 0.500 0.500
S1 S 0.000 0.500 0.500
N1 N 0.500 0.500 0.000
```

Results
Uncorrected formation energy = -0.041 eV per atom
Energy above the lowest structure with this stoichiometry = 0.000 eV per atom

=====

[9]
RbCrS2N: optimized geometry, PBE-GGA.

Cell and atoms, written as CIF:
```
data_RbCrS2N
_chemical_formula_sum 'Rb1 Cr1 S2 N1'
_cell_length_a 5.637
_cell_length_b 5.637
_cell_length_c 4.768
_cell_angle_alpha 90.00
_cell_angle_beta 90.00
_cell_angle_gamma 90.00
_space_group_name_H-M_alt 'P 4/m m m'
_space_group_IT_number 123
_space_group_name_Hall '-P 4 2'
loop_
_atom_site_label
_atom_site_type_symbol
_atom_site_fract_x
_atom_site_fract_y
_atom_site_fract_z
Rb1 Rb 0.000 0.000 0.000
Cr1 Cr 0.500 0.500 0.500
S1 S 0.000 0.500 0.000
N1 N 0.000 0.000 0.500
```

Results
Uncorrected formation energy = 1.947 eV per atom
Energy above the lowest structure with this stoichiometry = 1.988 eV per atom

=====

[10]
RbCrSeN2: optimized geometry, PBE-GGA.

Cell and atoms, written as CIF:
```
data_RbCrSeN2
_chemical_formula_sum 'Rb1 Cr1 Se1 N2'
_cell_length_a 3.985
_cell_length_b 3.985
_cell_length_c 4.979
_cell_angle_alpha 90.00
_cell_angle_beta 90.00
_cell_angle_gamma 90.00
_space_group_name_H-M_alt 'P 4/m m m'
_space_group_IT_number 123
_space_group_name_Hall '-P 4 2'
loop_
_atom_site_label
_atom_site_type_symbol
_atom_site_fract_x
_atom_site_fract_y
_atom_site_fract_z
Rb1 Rb 0.000 0.000 0.000
Cr1 Cr 0.500 0.500 0.500
Se1 Se 0.500 0.500 0.000
N1 N 0.000 0.500 0.500
```

Results
Uncorrected formation energy = 0.606 eV per atom
Energy above the lowest structure with this stoichiometry = 0.000 eV per atom

=====

[11]
RbCrSeN2: optimized geometry, PBE-GGA.

Cell and atoms, written as CIF:
```
data_RbCrSeN2
_chemical_formula_sum 'Rb1 Cr1 Se1 N2'
_cell_length_a 4.971
_cell_length_b 4.971
_cell_length_c 6.832
_cell_angle_alpha 90.00
_cell_angle_beta 90.00
_cell_angle_gamma 90.00
_space_group_name_H-M_alt 'P 4/m m m'
_space_group_IT_number 123
_space_group_name_Hall '-P 4 2'
loop_
_atom_site_label
_atom_site_type_symbol
_atom_site_fract_x
_atom_site_fract_y
_atom_site_fract_z
Rb1 Rb 0.000 0.000 0.000
Cr1 Cr 0.500 0.500 0.500
Se1 Se 0.000 0.000 0.500
N1 N 0.000 0.500 0.000
```

Results
Uncorrected formation energy = 2.397 eV per atom
Energy above the lowest structure with this stoichiometry = 1.792 eV per atom

=====

[12]
RbSm2Cr2N6: optimized geometry, PBE-GGA.

Cell and atoms, written as CIF:
```
data_RbSm2Cr2N6
_chemical_formula_sum 'Rb1 Sm2 Cr2 N6'
_cell_length_a 6.493
_cell_length_b 6.499
_cell_length_c 6.874
_cell_angle_alpha 62.84
_cell_angle_beta 62.86
_cell_angle_gamma 61.76
_space_group_name_H-M_alt 'P -1'
_space_group_IT_number 2
_space_group_name_Hall '-P 1'
loop_
_atom_site_label
_atom_site_type_symbol
_atom_site_fract_x
_atom_site_fract_y
_atom_site_fract_z
Rb1 Rb 0.000 0.000 0.000
Sm1 Sm 0.319 0.319 0.300
Cr1 Cr 0.383 0.382 0.685
N1 N 0.107 0.519 0.637
N2 N 0.421 0.420 0.895
N3 N 0.479 0.893 0.365
```

Results
Uncorrected formation energy = -0.544 eV per atom